Here is a relaxed Ta3NbOs3 crystal from the Alexandria database. Energies are from PBE.

Properties
- Calculated volume: 17.47 A^3/atom
- D(E_F): 0.667 states/eV per atom
- Uncorrected energy: -159.39 eV for the cell shown
- Formation enthalpy at 0 K: -0.054 eV/atom

a b c (Å): 6.2992 6.2992 6.1652
angles (deg): 90.00 90.00 91.74
Last column: nearest neighbours and their distance in Å.
Fractional positions:
Ta1 0.2326 0.7674 0.0000  6 Os 2.68-2.86, 2 Ta 2.99
Ta2 0.2426 0.2426 0.9992  6 Os 2.72-2.74, 2 Ta 2.99
Ta3 0.2577 0.7423 0.5000  6 Os 2.68-2.69, 2 Nb 2.92
Ta4 0.7423 0.2577 0.5000  6 Os 2.68-2.69, 2 Nb 2.92
Ta5 0.7574 0.7574 0.0008  6 Os 2.72-2.74, 2 Ta 2.99
Ta6 0.7674 0.2326 0.0000  6 Os 2.68-2.86, 2 Ta 2.99
Nb1 0.1999 0.1999 0.5008  6 Os 2.77-3.06, 3 Ta 2.92-3.10
Nb2 0.8001 0.8001 0.4992  6 Os 2.77-3.06, 3 Ta 2.92-3.10
Os1 0.0009 0.4995 0.2488  6 Ta 2.68-2.74, 2 Nb 2.77-2.78
Os2 0.4995 0.0009 0.2488  6 Ta 2.68-2.74, 2 Nb 2.77-2.78
Os3 0.4994 0.4994 0.2473  6 Ta 2.69-2.86
Os4 0.5006 0.5006 0.7527  6 Ta 2.69-2.86
Os5 0.5005 0.9991 0.7512  6 Ta 2.68-2.74, 2 Nb 2.77-2.78
Os6 0.9991 0.5005 0.7512  6 Ta 2.68-2.74, 2 Nb 2.77-2.78